A plane-wave DFT calculation with GGA-PBE was carried out for crystalline PuMgGaPd at its relaxed geometry. Values from VASP.

Results
* energy of formation from the pure elements: -0.37 eV/atom

Quantum ESPRESSO input file:
```
&SYSTEM
  ibrav = 0, nat = 16, ntyp = 4
/
ATOMIC_SPECIES
Pu 244.00 Pu.upf
Mg 24.30 Mg.upf
Ga 69.72 Ga.upf
Pd 106.42 Pd.upf
CELL_PARAMETERS angstrom
6.862 0.000 0.000
0.000 6.862 0.000
0.000 0.000 6.862
ATOMIC_POSITIONS angstrom
Pu 0.000 0.000 0.000
Pu 0.000 3.431 3.431
Pu 3.431 0.000 3.431
Pu 3.431 3.431 0.000
Mg 0.000 0.000 3.431
Mg 0.000 3.431 0.000
Mg 3.431 0.000 0.000
Mg 3.431 3.431 3.431
Ga 1.716 1.716 5.147
Ga 1.716 5.147 1.716
Ga 5.147 1.716 1.716
Ga 5.147 5.147 5.147
Pd 1.716 1.716 1.716
Pd 1.716 5.147 5.147
Pd 5.147 1.716 5.147
Pd 5.147 5.147 1.716
```

---

A plane-wave DFT calculation with GGA-PBE was carried out for crystalline KCuW2 at its relaxed geometry. Values from VASP.

Results
* energy of formation from the pure elements: 2.17 eV/atom

Quantum ESPRESSO input file:
```
&SYSTEM
  ibrav = 0, nat = 16, ntyp = 3
/
ATOMIC_SPECIES
K 39.10 K.upf
Cu 63.55 Cu.upf
W 183.84 W.upf
CELL_PARAMETERS angstrom
6.462 0.000 0.000
0.000 6.462 0.000
0.000 0.000 6.462
ATOMIC_POSITIONS angstrom
K 0.000 0.000 0.000
K 0.000 3.231 3.231
K 3.231 0.000 3.231
K 3.231 3.231 0.000
Cu 0.000 0.000 3.231
Cu 0.000 3.231 0.000
Cu 3.231 0.000 0.000
Cu 3.231 3.231 3.231
W 1.615 1.615 1.615
W 1.615 1.615 4.846
W 1.615 4.846 1.615
W 1.615 4.846 4.846
W 4.846 1.615 1.615
W 4.846 1.615 4.846
W 4.846 4.846 1.615
W 4.846 4.846 4.846
```

---

A plane-wave DFT calculation with GGA-PBE was carried out for crystalline RbCrFeSi2 at its relaxed geometry. Values from VASP.

Results
* DFT total energy: -26.76 eV/cell

Quantum ESPRESSO input file:
```
&SYSTEM
  ibrav = 0, nat = 5, ntyp = 4
/
ATOMIC_SPECIES
Rb 85.47 Rb.upf
Cr 52.00 Cr.upf
Fe 55.84 Fe.upf
Si 28.09 Si.upf
CELL_PARAMETERS angstrom
4.607 0.000 0.000
0.000 4.607 0.000
0.000 0.000 4.834
ATOMIC_POSITIONS angstrom
Rb 0.000 0.000 0.000
Cr 2.303 2.303 2.417
Fe 2.303 2.303 0.000
Si 0.000 2.303 2.417
Si 2.303 0.000 2.417
```

---

A plane-wave DFT calculation with GGA-PBE was carried out for crystalline CuSe2I at its relaxed geometry. Values from VASP.

Results
* DFT total energy: -25.59 eV/cell

Quantum ESPRESSO input file:
```
&SYSTEM
  ibrav = 0, nat = 8, ntyp = 3
/
ATOMIC_SPECIES
Cu 63.55 Cu.upf
Se 78.96 Se.upf
I 126.90 I.upf
CELL_PARAMETERS angstrom
3.347 0.000 0.000
0.000 9.873 0.000
-1.665 0.000 6.849
ATOMIC_POSITIONS angstrom
Cu 0.006 2.468 0.130
Cu 1.675 7.404 6.720
Se 0.004 5.733 5.993
Se 0.004 9.076 5.993
Se 1.677 0.797 0.856
Se 1.677 4.139 0.856
I 0.000 7.404 2.596
I 1.681 2.468 4.253
```

---

A plane-wave DFT calculation with GGA-PBE was carried out for crystalline Cs4NaHg5 at its relaxed geometry. Values from VASP.

Results
* energy of formation from the pure elements: -0.20 eV/atom

Quantum ESPRESSO input file:
```
&SYSTEM
  ibrav = 0, nat = 10, ntyp = 3
/
ATOMIC_SPECIES
Cs 132.91 Cs.upf
Na 22.99 Na.upf
Hg 200.59 Hg.upf
CELL_PARAMETERS angstrom
-6.230 6.230 3.018
6.230 -6.230 3.018
6.230 6.230 -3.018
ATOMIC_POSITIONS angstrom
Cs 3.551 0.000 0.000
Cs 8.910 0.000 0.000
Cs 0.000 3.551 0.000
Cs 0.000 8.910 0.000
Na 0.000 0.000 1.921
Hg 3.995 3.995 0.055
Hg 2.236 -2.236 3.073
Hg -2.236 2.236 3.073
Hg 2.236 2.236 3.073
Hg 0.000 0.000 4.858
```

---

A plane-wave DFT calculation with GGA-PBE was carried out for crystalline EuErTm2 at its relaxed geometry. Values from VASP.

Results
* energy of formation from the pure elements: 0.07 eV/atom

Quantum ESPRESSO input file:
```
&SYSTEM
  ibrav = 0, nat = 4, ntyp = 3
/
ATOMIC_SPECIES
Eu 151.96 Eu.upf
Er 167.26 Er.upf
Tm 168.93 Tm.upf
CELL_PARAMETERS angstrom
3.559 0.000 0.000
0.000 3.559 0.000
0.000 0.000 10.207
ATOMIC_POSITIONS angstrom
Eu 0.000 0.000 0.000
Er 0.000 0.000 5.103
Tm 1.779 1.779 2.724
Tm 1.779 1.779 7.483
```

---

A plane-wave DFT calculation with GGA-PBE was carried out for crystalline BaBeRe2 at its relaxed geometry. Values from VASP.

Results
* energy of formation from the pure elements: 0.82 eV/atom

Quantum ESPRESSO input file:
```
&SYSTEM
  ibrav = 0, nat = 4, ntyp = 3
/
ATOMIC_SPECIES
Ba 137.33 Ba.upf
Be 9.01 Be.upf
Re 186.21 Re.upf
CELL_PARAMETERS angstrom
3.849 0.000 0.000
0.000 4.193 0.000
-1.529 0.000 5.765
ATOMIC_POSITIONS angstrom
Ba 0.000 0.000 0.000
Be 1.160 0.000 2.883
Re 0.208 2.096 3.578
Re 2.112 2.096 2.187
```

---

A plane-wave DFT calculation with GGA-PBE was carried out for crystalline CsScNbPt2 at its relaxed geometry. Values from VASP.

Results
* energy of formation from the pure elements: 1.29 eV/atom

Quantum ESPRESSO input file:
```
&SYSTEM
  ibrav = 0, nat = 5, ntyp = 4
/
ATOMIC_SPECIES
Cs 132.91 Cs.upf
Sc 44.96 Sc.upf
Nb 92.91 Nb.upf
Pt 195.08 Pt.upf
CELL_PARAMETERS angstrom
4.880 0.000 0.000
0.000 4.880 0.000
0.000 0.000 5.317
ATOMIC_POSITIONS angstrom
Cs 0.000 0.000 0.000
Sc 0.000 0.000 2.659
Nb 2.440 2.440 0.000
Pt 0.000 2.440 2.659
Pt 2.440 0.000 2.659
```